DFT (PBE) results for CrCd2Re after structural relaxation.

Lattice parameters (Å, degrees): 7.591 7.591 6.002 50.78 50.78 90.00
Site moments in Bohr magnetons follow the coordinates.
Atoms (fractional coordinates):
Re  0.000  0.000  0.000  -0.99
Re  0.750  0.250  0.500  -0.99
Cr  0.500  0.500  0.000  3.40
Cr  0.250  0.750  0.500  3.40
Cd  0.625  0.125  0.250  0.03
Cd  0.125  0.625  0.250  0.03
Cd  0.375  0.375  0.750  0.03
Cd  0.875  0.875  0.750  0.03

Results
The space group is No. 122. The density of states at the Fermi level is 0.8558 states/eV per atom. Its energy relative to the elements is 4.6 eV/f.u. The energy relative to the lowest polymorph listed for this composition comes out at 3.38 eV per formula unit.